<one>
DFT (GGA-PBE) results for crystalline YHoSiNi at its relaxed geometry.

Calculated volume, Å³/atom: 20.54

Cell and atoms, written as CIF:
```
data_YHoSiNi
_space_group_name_H-M_alt 'F -4 3 m'
_space_group_IT_number 216
_space_group_name_Hall 'F -4 2 3'
_cell_length_a 6.9008
_cell_length_b 6.9008
_cell_length_c 6.9008
_cell_angle_alpha 90.00
_cell_angle_beta 90.00
_cell_angle_gamma 90.00
loop_
_atom_site_label
_atom_site_fract_x
_atom_site_fract_y
_atom_site_fract_z
Y1 0.0000 0.0000 0.0000
Ho1 0.0000 0.0000 0.5000
Si1 0.2500 0.2500 0.7500
Ni1 0.2500 0.2500 0.2500
```

---

<two>
DFT (GGA-PBE) results for crystalline YHoSiNi at its relaxed geometry.

Calculated volume, Å³/atom: 21.20

Cell and atoms, written as CIF:
```
data_YHoSiNi
_space_group_name_H-M_alt 'A m m 2'
_space_group_IT_number 38
_cell_length_a 4.0285
_cell_length_b 3.9763
_cell_length_c 10.5857
_cell_angle_alpha 90.00
_cell_angle_beta 90.00
_cell_angle_gamma 90.00
loop_
_space_group_symop_operation_xyz
'x,y,z'
'-x,-y,z'
'-x,y,z'
'x,-y,z'
'x,y+1/2,z+1/2'
'-x,-y+1/2,z+1/2'
'-x,y+1/2,z+1/2'
'x,-y+1/2,z+1/2'
loop_
_atom_site_label
_atom_site_fract_x
_atom_site_fract_y
_atom_site_fract_z
Y1 0.0000 0.0000 0.0000
Ho1 0.5000 0.0000 0.2813
Si1 0.5000 0.0000 0.5740
Ni1 0.0000 0.0000 0.7092
```

---

Most stable to least stable, the ends of the list are <two> and <one>.

---

<one>
DFT (GGA-PBE) results for crystalline SmHoNi at its relaxed geometry.

Calculated volume, Å³/atom: 26.87

Cell and atoms, written as CIF:
```
data_SmHoNi
_space_group_name_H-M_alt 'C 1 2/m 1'
_space_group_IT_number 12
_cell_length_a 6.7525
_cell_length_b 3.8915
_cell_length_c 12.4701
_cell_angle_alpha 90.00
_cell_angle_beta 100.29
_cell_angle_gamma 90.00
loop_
_space_group_symop_operation_xyz
'x,y,z'
'-x,-y,-z'
'-x,y,-z'
'x,-y,z'
'x+1/2,y+1/2,z'
'-x+1/2,-y+1/2,-z'
'-x+1/2,y+1/2,-z'
'x+1/2,-y+1/2,z'
loop_
_atom_site_label
_atom_site_fract_x
_atom_site_fract_y
_atom_site_fract_z
Sm1 0.2034 0.0000 0.1112
Ho1 0.0481 0.0000 0.6469
Ni1 0.1665 0.5000 0.5011
```

---

<two>
DFT (GGA-PBE) results for crystalline SmHoNi at its relaxed geometry.

Calculated volume, Å³/atom: 24.51

Cell and atoms, written as CIF:
```
data_SmHoNi
_space_group_name_H-M_alt 'P 3 m 1'
_space_group_IT_number 156
_cell_length_a 4.5232
_cell_length_b 4.5232
_cell_length_c 4.1506
_cell_angle_alpha 90.00
_cell_angle_beta 90.00
_cell_angle_gamma 120.00
loop_
_space_group_symop_operation_xyz
'x,y,z'
'-y,x-y,z'
'-x+y,-x,z'
'-y,-x,z'
'-x+y,y,z'
'x,x-y,z'
loop_
_atom_site_label
_atom_site_fract_x
_atom_site_fract_y
_atom_site_fract_z
Sm1 0.0000 0.0000 0.0000
Ho1 0.6667 0.3333 0.5142
Ni1 0.3333 0.6667 0.3063
```

---

Most stable to least stable, the ends of the list are <one> and <two>.

---

<one>
DFT (GGA-PBE) results for crystalline SmHoNi at its relaxed geometry.

Calculated volume, Å³/atom: 24.54

Cell and atoms, written as CIF:
```
data_SmHoNi
_space_group_name_H-M_alt 'I 4 m m'
_space_group_IT_number 107
_space_group_name_Hall 'I 4 -2'
_cell_length_a 3.4294
_cell_length_b 3.4294
_cell_length_c 12.5198
_cell_angle_alpha 90.00
_cell_angle_beta 90.00
_cell_angle_gamma 90.00
loop_
_atom_site_label
_atom_site_fract_x
_atom_site_fract_y
_atom_site_fract_z
Sm1 0.0000 0.0000 0.0000
Ho1 0.0000 0.0000 0.7375
Ni1 0.0000 0.0000 0.3599
```

---

<two>
DFT (GGA-PBE) results for crystalline SmHoNi at its relaxed geometry.

Calculated volume, Å³/atom: 24.40

Cell and atoms, written as CIF:
```
data_SmHoNi
_space_group_name_H-M_alt 'P m m a'
_space_group_IT_number 51
_cell_length_a 14.8485
_cell_length_b 3.6900
_cell_length_c 8.0175
_cell_angle_alpha 90.00
_cell_angle_beta 90.00
_cell_angle_gamma 90.00
loop_
_space_group_symop_operation_xyz
'x,y,z'
'-x,-y,-z'
'-x+1/2,-y,z'
'x+1/2,y,-z'
'x+1/2,-y,-z'
'-x+1/2,y,z'
'-x,y,-z'
'x,-y,z'
loop_
_atom_site_label
_atom_site_fract_x
_atom_site_fract_y
_atom_site_fract_z
Sm1 0.0538 0.0000 0.1923
Sm2 0.2500 0.0000 0.8802
Ho1 0.1144 0.5000 0.5875
Ho2 0.2500 0.5000 0.2540
Ni1 0.0919 0.5000 0.9344
Ni2 0.2500 0.0000 0.5122
```

---

<three>
DFT (GGA-PBE) results for crystalline SmHoNi at its relaxed geometry.

Calculated volume, Å³/atom: 32.04

Cell and atoms, written as CIF:
```
data_SmHoNi
_space_group_name_H-M_alt 'P -6 m 2'
_space_group_IT_number 187
_space_group_name_Hall 'P -6 2'
_cell_length_a 4.5844
_cell_length_b 4.5844
_cell_length_c 5.2814
_cell_angle_alpha 90.00
_cell_angle_beta 90.00
_cell_angle_gamma 120.00
loop_
_atom_site_label
_atom_site_fract_x
_atom_site_fract_y
_atom_site_fract_z
Sm1 0.0000 0.0000 0.0000
Ho1 0.3333 0.6667 0.5000
Ni1 0.3333 0.6667 0.0000
```

---

Most stable to least stable, the ends of the list are <two> and <three>.

---

<one>
DFT (GGA-PBE) results for crystalline SmHoZnNi at its relaxed geometry.

Calculated volume, Å³/atom: 21.49

Cell and atoms, written as CIF:
```
data_SmHoZnNi
_space_group_name_H-M_alt 'F -4 3 m'
_space_group_IT_number 216
_space_group_name_Hall 'F -4 2 3'
_cell_length_a 7.0057
_cell_length_b 7.0057
_cell_length_c 7.0057
_cell_angle_alpha 90.00
_cell_angle_beta 90.00
_cell_angle_gamma 90.00
loop_
_atom_site_label
_atom_site_fract_x
_atom_site_fract_y
_atom_site_fract_z
Sm1 0.0000 0.0000 0.0000
Ho1 0.0000 0.0000 0.5000
Zn1 0.2500 0.2500 0.2500
Ni1 0.2500 0.2500 0.7500
```

---

<two>
DFT (GGA-PBE) results for crystalline SmHoZnNi at its relaxed geometry.

Calculated volume, Å³/atom: 22.29

Cell and atoms, written as CIF:
```
data_SmHoZnNi
_space_group_name_H-M_alt 'A m m 2'
_space_group_IT_number 38
_cell_length_a 4.4236
_cell_length_b 3.8348
_cell_length_c 10.5127
_cell_angle_alpha 90.00
_cell_angle_beta 90.00
_cell_angle_gamma 90.00
loop_
_space_group_symop_operation_xyz
'x,y,z'
'-x,-y,z'
'-x,y,z'
'x,-y,z'
'x,y+1/2,z+1/2'
'-x,-y+1/2,z+1/2'
'-x,y+1/2,z+1/2'
'x,-y+1/2,z+1/2'
loop_
_atom_site_label
_atom_site_fract_x
_atom_site_fract_y
_atom_site_fract_z
Sm1 0.0000 0.0000 0.0000
Ho1 0.5000 0.0000 0.2826
Zn1 0.5000 0.0000 0.5744
Ni1 0.0000 0.0000 0.7087
```

---

Most stable to least stable, the ends of the list are <two> and <one>.